1.
Computed, not measured: crystalline Re2TeP at its relaxed geometry at the GGA-PBE level of DFT.

Computed properties:
- relative energy among the computed polymorphs (meV per atom) = 351
- E (eV per atom) = -7.819

a = 3.7647 Å, b = 4.1314 Å, c = 5.7212 Å
α = 82.55°, β = 90.00°, γ = 90.00°
Sites, in units of the cell vectors:
P 0.5000 0.5000 0.5000
Re 0.0000 0.1982 0.6320
Re 0.0000 0.8018 0.3680
Te 0.5000 0.0000 0.0000



2.
Computed, not measured: crystalline ReTe2P at its relaxed geometry at the GGA-PBE level of DFT.

Computed properties:
- E (eV per atom) = -5.382

a = 3.7751 Å, b = 3.7751 Å, c = 7.7131 Å
α = 82.04°, β = 82.04°, γ = 52.41°
Last column: magnetic moment on the atom in μB.
Sites, in units of the cell vectors:
Re 0.5000 0.5000 0.0000  0.67
Te 0.7739 0.7739 0.2304  -0.01
Te 0.2261 0.2261 0.7696  -0.01
P 0.0000 0.0000 0.5000  0.01



3.
Computed, not measured: crystalline Re2TeP at its relaxed geometry at the GGA-PBE level of DFT.

Computed properties:
- relative energy among the computed polymorphs (meV per atom) = 352
- E (eV per atom) = -7.818

a = 5.8863 Å, b = 5.8863 Å, c = 5.8863 Å
α = 148.80°, β = 140.94°, γ = 50.81°
Sites, in units of the cell vectors:
Te 0.5407 0.5407 0.0000
P 0.7831 0.2831 0.5000
Re 0.2274 0.7274 0.5000
Re 0.9488 0.9488 0.0000



4.
Computed, not measured: crystalline ReTe3P at its relaxed geometry at the GGA-PBE level of DFT.

Computed properties:
- relative energy among the computed polymorphs (meV per atom) = 495
- E (eV per atom) = -3.928

a = 4.9992 Å, b = 4.9992 Å, c = 4.9992 Å
α = 90.00°, β = 90.00°, γ = 90.00°
Sites, in units of the cell vectors:
Re 0.5000 0.5000 0.5000
P 0.0000 0.0000 0.0000
Te 0.0000 0.0000 0.5000
Te 0.5000 0.0000 0.0000
Te 0.0000 0.5000 0.0000



5.
Computed, not measured: crystalline ReTe2P at its relaxed geometry at the GGA-PBE level of DFT.

Computed properties:
- E (eV per atom) = -5.840

a = 9.9266 Å, b = 9.9266 Å, c = 9.9266 Å
α = 18.96°, β = 18.96°, γ = 18.96°
Sites, in units of the cell vectors:
Te 0.9754 0.9754 0.9754
Te 0.7653 0.7653 0.7653
P 0.5214 0.5214 0.5214
Re 0.2379 0.2379 0.2379



6.
Computed, not measured: crystalline ReTe2P at its relaxed geometry at the GGA-PBE level of DFT.

Computed properties:
- E (eV per atom) = -5.656

a = 8.1833 Å, b = 8.1833 Å, c = 8.1833 Å
α = 156.40°, β = 153.96°, γ = 35.42°
Sites, in units of the cell vectors:
Te 0.6429 0.6429 0.0000
Te 0.3571 0.3571 0.0000
P 0.5000 0.0000 0.5000
Re 0.0000 0.5000 0.5000



no.,density of states at the Fermi level (states/eV/cell),ΔE_f (raw) (kJ/mol of formula units)
1,3.79,210
2,2.82,252
3,3.16,210
4,5.48,738
5,2.51,75
6,1.75,146